No. 1
This record from Alexandria via LeMat-Bulk describes crystalline BaSr2Mg2Ga2 at its relaxed geometry. The functional is PBE.

CIF file:
```
data_BaSr2Mg2Ga2
_cell_length_a 4.9928
_cell_length_b 4.9928
_cell_length_c 32.9458
_cell_angle_alpha 90.00
_cell_angle_beta 90.00
_cell_angle_gamma 120.00
_space_group_name_H-M_alt 'R -3 m'
_space_group_IT_number 166
_space_group_name_Hall '-R 3 2"'
loop_
_atom_site_label
_atom_site_type_symbol
_atom_site_fract_x
_atom_site_fract_y
_atom_site_fract_z
_atom_site_occupancy
Ba1 Ba 0.0000 0.0000 0.0000 1
Sr1 Sr 0.0000 0.0000 0.1259 1
Mg1 Mg 0.0000 0.0000 0.4041 1
Ga1 Ga 0.0000 0.0000 0.2566 1
```



No. 2
# CsIn3Ge PBE optimized geometry
# - E above lowest polymorph (kJ per mole of atoms) = 126.7
data_CsIn3Ge
_cell_length_a 6.3062
_cell_length_b 6.3062
_cell_length_c 6.3062
_cell_angle_alpha 90.00
_cell_angle_beta 90.00
_cell_angle_gamma 90.00
_space_group_name_H-M_alt 'P m -3 m'
_space_group_IT_number 221
_space_group_name_Hall '-P 4 2 3'
loop_
_atom_site_label
_atom_site_type_symbol
_atom_site_fract_x
_atom_site_fract_y
_atom_site_fract_z
_atom_site_occupancy
Cs1 Cs 0.0000 0.0000 0.0000 1
In1 In 0.0000 0.0000 0.5000 1
Ge1 Ge 0.5000 0.5000 0.5000 1



No. 3
This record from Alexandria via LeMat-Bulk describes crystalline DyEr5TmIn2 at its relaxed geometry. The functional is PBE.

CIF file:
```
data_DyEr5TmIn2
_cell_length_a 7.5611
_cell_length_b 7.5611
_cell_length_c 19.3380
_cell_angle_alpha 90.00
_cell_angle_beta 90.00
_cell_angle_gamma 90.00
_space_group_name_H-M_alt 'I 4/m c m'
_space_group_IT_number 140
_space_group_name_Hall '-I 4 2c'
loop_
_atom_site_label
_atom_site_type_symbol
_atom_site_fract_x
_atom_site_fract_y
_atom_site_fract_z
_atom_site_occupancy
Dy1 Dy 0.0000 0.0000 0.2500 1
Er1 Er 0.0000 0.0000 0.0000 1
Er2 Er 0.2009 0.2991 0.1235 1
Tm1 Tm 0.0000 0.5000 0.2500 1
In1 In 0.1245 0.3755 0.5000 1
```



No. 4
This record from Alexandria via LeMat-Bulk describes crystalline Hf6Pd3Ru at its relaxed geometry. The functional is PBE.

CIF file:
```
data_Hf6Pd3Ru
_cell_length_a 5.5110
_cell_length_b 8.0446
_cell_length_c 10.6466
_cell_angle_alpha 90.00
_cell_angle_beta 120.45
_cell_angle_gamma 90.00
_space_group_name_H-M_alt 'P 1 21/c 1'
_space_group_IT_number 14
_space_group_name_Hall '-P 2ybc'
loop_
_atom_site_label
_atom_site_type_symbol
_atom_site_fract_x
_atom_site_fract_y
_atom_site_fract_z
_atom_site_occupancy
Hf1 Hf 0.0099 0.1656 0.4317 1
Hf2 Hf 0.3726 0.6786 0.4415 1
Hf3 Hf 0.4639 0.5451 0.7535 1
Pd1 Pd 0.0000 0.0000 0.0000 1
Pd2 Pd 0.0553 0.0943 0.7530 1
Ru1 Ru 0.5000 0.0000 0.5000 1
```



| no. | E_tot (eV per cell) |
| --- | --- |
| 1 | -48.31 |
| 2 | -7.10 |
| 3 | -148.82 |
| 4 | -175.40 |